Entry 1:
Material: Rb2BrF4
Method: DFT, PBE
State: relaxed

a = 6.539 Å, b = 6.539 Å, c = 7.601 Å
α = 90.00°, β = 90.00°, γ = 90.00°
Space group I4/mmm (No. 139)
One atom of each set of equivalent atoms:
Rb  0.000  0.500  0.250 [4 per cell]
Br  0.000  0.000  0.000 [2 per cell]
F  0.235  0.235  0.000 [8 per cell]

Fermi-level density of states ... 11.93 states/eV per cell
Energy ... -3.37 eV/atom

---

Entry 2:
Material: Rb7BrF5
Method: DFT, PBE
State: relaxed

a = 13.572 Å, b = 4.132 Å, c = 28.714 Å
α = 90.00°, β = 90.03°, γ = 90.00°
Space group C2/m (No. 12)
One atom of each set of equivalent atoms:
Rb  0.085  0.000  0.250 [4 per cell]
Rb  0.091  0.500  0.089 [4 per cell]
Rb  0.091  0.500  0.411 [4 per cell]
Rb  0.138  0.000  0.528 [4 per cell]
Rb  0.138  0.000  0.971 [4 per cell]
Rb  0.154  0.500  0.652 [4 per cell]
Rb  0.154  0.500  0.848 [4 per cell]
Br  0.197  0.000  0.750 [4 per cell]
F  0.000  0.500  0.000 [2 per cell]
F  0.000  0.500  0.500 [2 per cell]
F  0.045  0.000  0.613 [4 per cell]
F  0.045  0.000  0.887 [4 per cell]
F  0.231  0.000  0.064 [4 per cell]
F  0.231  0.000  0.436 [4 per cell]

Fermi-level density of states ... 4.90 states/eV per cell
Energy ... -3.62 eV/atom

---

Entry 3:
Material: Rb5Br2F3
Method: DFT, PBE
State: relaxed

a = 9.096 Å, b = 20.021 Å, c = 7.649 Å
α = 90.00°, β = 90.00°, γ = 90.00°
Space group Ibam (No. 72)
One atom of each set of equivalent atoms:
Rb  0.000  0.000  0.250 [4 per cell]
Rb  0.000  0.189  0.250 [8 per cell]
Rb  0.106  0.415  0.000 [8 per cell]
Br  0.183  0.308  0.500 [8 per cell]
F  0.000  0.500  0.250 [4 per cell]
F  0.088  0.090  0.500 [8 per cell]

Fermi-level density of states ... 0.00 states/eV per cell
Energy ... -3.63 eV/atom

---

Entry 4:
Material: Rb5Br4F
Method: DFT, PBE
State: relaxed

a = 4.859 Å, b = 4.859 Å, c = 33.755 Å
α = 90.00°, β = 90.00°, γ = 90.00°
Space group I4/mmm (No. 139)
One atom of each set of equivalent atoms:
Rb  0.000  0.000  0.000 [2 per cell]
Rb  0.000  0.000  0.198 [4 per cell]
Rb  0.000  0.000  0.416 [4 per cell]
Br  0.000  0.000  0.097 [4 per cell]
Br  0.000  0.000  0.303 [4 per cell]
F  0.000  0.000  0.500 [2 per cell]

Energy above the most stable polymorph in this dataset ... 0.014 eV per atom
Fermi-level density of states ... 0.00 states/eV per cell

---

Entry 5:
Material: RbBrF3
Method: DFT, PBE
State: relaxed

a = 7.5083 Å, b = 7.5083 Å, c = 10.3333 Å
α = 90.00°, β = 90.00°, γ = 120.00°
Space group R3m (No. 160, hexagonal axes)
One atom of each set of equivalent atoms:
Rb  0.0000  0.0000  0.0000 [3 per cell]
Br  0.0000  0.0000  0.6551 [3 per cell]
F  0.0564  0.5282  0.4429 [9 per cell]

Energy above the most stable polymorph in this dataset ... 0.443 eV per atom

---

Entry 6:
Material: RbBrF4
Method: DFT, PBE
State: relaxed

a = 11.041 Å, b = 4.912 Å, c = 9.067 Å
α = 90.00°, β = 101.35°, γ = 90.00°
Space group C2/c (No. 15)
One atom of each set of equivalent atoms:
Rb  0.000  0.238  0.250 [4 per cell]
Br  0.250  0.250  0.000 [4 per cell]
F  0.071  0.254  0.937 [8 per cell]
F  0.236  0.036  0.641 [8 per cell]

Fermi-level density of states ... 0.00 states/eV per cell
Energy ... -3.36 eV/atom

---

Entry 7:
Material: Rb3Br2F
Method: DFT, PBE
State: relaxed

a = 14.871 Å, b = 6.972 Å, c = 8.993 Å
α = 90.00°, β = 107.61°, γ = 90.00°
Space group C2/c (No. 15)
One atom of each set of equivalent atoms:
Rb  0.000  0.064  0.250 [4 per cell]
Rb  0.139  0.499  0.069 [8 per cell]
Br  0.173  0.001  0.587 [8 per cell]
F  0.000  0.457  0.250 [4 per cell]

Energy above the most stable polymorph in this dataset ... 0.000 eV per atom
Fermi-level density of states ... 0.00 states/eV per cell

---

Entry 8:
Material: Rb4BrF3
Method: DFT, PBE
State: relaxed

a = 4.1410 Å, b = 4.1410 Å, c = 14.7818 Å
α = 90.00°, β = 90.00°, γ = 120.00°
Space group P-3m1 (No. 164)
One atom of each set of equivalent atoms:
Rb  0.3333  0.6667  0.3409 [2 per cell]
Rb  0.3333  0.6667  0.8856 [2 per cell]
Br  0.0000  0.0000  0.5000 [1 per cell]
F  0.0000  0.0000  0.0000 [1 per cell]
F  0.0000  0.0000  0.2288 [2 per cell]

Fermi-level density of states ... 0.00 states/eV per cell
Energy ... -3.77 eV/atom

---

Entry 9:
Material: RbBr2F6
Method: DFT, PBE
State: relaxed

a = 11.832 Å, b = 11.483 Å, c = 7.848 Å
α = 90.00°, β = 129.54°, γ = 90.00°
Space group C2/c (No. 15)
One atom of each set of equivalent atoms:
Rb  0.000  0.153  0.250 [4 per cell]
Br  0.142  0.470  0.081 [8 per cell]
F  0.111  0.313  0.108 [8 per cell]
F  0.142  0.056  0.713 [8 per cell]
F  0.179  0.373  0.552 [8 per cell]

Fermi-level density of states ... 3.36 states/eV per cell
Energy ... -2.98 eV/atom

---

Entry 10:
Material: Rb2BrF6
Method: DFT, PBE
State: relaxed

a = 11.720 Å, b = 5.897 Å, c = 5.896 Å
α = 90.00°, β = 120.16°, γ = 90.00°
Space group C2/m (No. 12)
One atom of each set of equivalent atoms:
Rb  0.250  0.000  0.250 [4 per cell]
Br  0.000  0.000  0.500 [2 per cell]
F  0.001  0.229  0.272 [8 per cell]
F  0.235  0.000  0.736 [4 per cell]

Energy above the most stable polymorph in this dataset ... 0.009 eV per atom

---

Entry 11:
Material: Rb3BrF2
Method: DFT, PBE
State: relaxed

a = 12.539 Å, b = 7.630 Å, c = 7.551 Å
α = 90.00°, β = 90.00°, γ = 90.00°
Space group Cmcm (No. 63)
One atom of each set of equivalent atoms:
Rb  0.000  0.018  0.250 [4 per cell]
Rb  0.220  0.296  0.750 [8 per cell]
Br  0.000  0.443  0.250 [4 per cell]
F  0.169  0.000  0.000 [8 per cell]

Energy above the most stable polymorph in this dataset ... 0.087 eV per atom
Fermi-level density of states ... 0.00 states/eV per cell

---

Entry 12:
Material: Rb12Br3F5
Method: DFT, PBE
State: relaxed

a = 18.895 Å, b = 18.895 Å, c = 18.895 Å
α = 90.00°, β = 90.00°, γ = 90.00°
Space group Ia-3d (No. 230)
One atom of each set of equivalent atoms:
Rb  0.033  0.046  0.651 [96 per cell]
Br  0.000  0.250  0.125 [24 per cell]
F  0.000  0.000  0.000 [16 per cell]
F  0.000  0.250  0.375 [24 per cell]

Fermi-level density of states ... 46.44 states/eV per cell
Energy ... -3.02 eV/atom

---

Entry 13:
Material: Rb2BrF5
Method: DFT, PBE
State: relaxed

a = 11.330 Å, b = 8.841 Å, c = 7.736 Å
α = 90.00°, β = 109.32°, γ = 90.00°
Space group P2_1/c (No. 14)
One atom of each set of equivalent atoms:
Rb  0.008  0.182  0.132 [4 per cell]
Rb  0.343  0.610  0.830 [4 per cell]
Br  0.328  0.103  0.868 [4 per cell]
F  0.097  0.598  0.729 [4 per cell]
F  0.221  0.211  0.973 [4 per cell]
F  0.248  0.588  0.392 [4 per cell]
F  0.418  0.214  0.358 [4 per cell]
F  0.428  0.507  0.248 [4 per cell]

Fermi-level density of states ... 0.00 states/eV per cell
Energy ... -3.52 eV/atom

---

Entry 14:
Material: RbBrF3
Method: DFT, PBE
State: relaxed

a = 5.086 Å, b = 5.086 Å, c = 5.086 Å
α = 90.00°, β = 90.00°, γ = 90.00°
Space group Pm-3m (No. 221)
One atom of each set of equivalent atoms:
Rb  0.000  0.000  0.000 [1 per cell]
Br  0.500  0.500  0.500 [1 per cell]
F  0.000  0.000  0.500 [3 per cell]

Energy above the most stable polymorph in this dataset ... 0.967 eV per atom
Fermi-level density of states ... 11.42 states/eV per cell

---

Entry 15:
Material: Rb2BrF6
Method: DFT, PBE
State: relaxed

a = 11.581 Å, b = 5.884 Å, c = 4.871 Å
α = 90.00°, β = 90.18°, γ = 90.00°
Space group C2/m (No. 12)
One atom of each set of equivalent atoms:
Rb  0.179  0.000  0.280 [4 per cell]
Br  0.000  0.500  0.000 [2 per cell]
F  0.066  0.267  0.778 [8 per cell]
F  0.188  0.500  0.220 [4 per cell]

Energy above the most stable polymorph in this dataset ... 0.000 eV per atom

---

Entry 16:
Material: Rb5BrF4
Method: DFT, PBE
State: relaxed

a = 13.676 Å, b = 4.169 Å, c = 11.059 Å
α = 90.00°, β = 116.62°, γ = 90.00°
Space group C2/m (No. 12)
One atom of each set of equivalent atoms:
Rb  0.000  0.000  0.000 [2 per cell]
Rb  0.098  0.500  0.341 [4 per cell]
Rb  0.210  0.000  0.826 [4 per cell]
Br  0.000  0.000  0.500 [2 per cell]
F  0.100  0.500  0.907 [4 per cell]
F  0.181  0.000  0.250 [4 per cell]

Fermi-level density of states ... 0.00 states/eV per cell
Energy ... -3.84 eV/atom

---

Entry 17:
Material: Rb4Br3F
Method: DFT, PBE
State: relaxed

a = 8.371 Å, b = 9.614 Å, c = 8.087 Å
α = 90.00°, β = 109.49°, γ = 90.00°
Space group P2/c (No. 13)
One atom of each set of equivalent atoms:
Rb  0.209  0.104  0.008 [4 per cell]
Rb  0.244  0.362  0.488 [4 per cell]
Br  0.000  0.373  0.750 [2 per cell]
Br  0.500  0.123  0.750 [2 per cell]
Br  0.500  0.369  0.250 [2 per cell]
F  0.000  0.097  0.250 [2 per cell]

Energy above the most stable polymorph in this dataset ... 0.000 eV per atom
Fermi-level density of states ... 0.00 states/eV per cell